(1)
VASP calculation (PBE) on crystalline Sr4MgNi at its relaxed geometry.

Cell: 10.047 10.047 10.047 Å, 90.00 90.00 90.00°
Space group F-43m (No. 216)
Symmetry-distinct sites (fractional):
Sr1 0.125 0.125 0.125 [16 per cell]
Mg1 0.250 0.250 0.750 [4 per cell]
Ni1 0.000 0.000 0.500 [4 per cell]

Computed properties:
Formation energy: 790 meV/atom
Total magnetization: 0.0787 μB per atom

(2)
VASP calculation (PBE) on crystalline MgTe2Cl at its relaxed geometry.

Cell: 4.173 4.928 11.445 Å, 90.00 90.00 90.00°
Space group Cmm2 (No. 35)
Symmetry-distinct sites (fractional):
Mg1 0.000 0.000 0.000 [2 per cell]
Te1 0.000 0.000 0.528 [2 per cell]
Te2 0.000 0.500 0.192 [2 per cell]
Cl1 0.000 0.500 0.877 [2 per cell]

Computed properties:
Energy above the lowest structure with this stoichiometry: 174 meV/atom
Formation energy (no corrections): -0.560 eV/atom
Total magnetization: 0.0000 μB per atom

(3)
VASP calculation (PBE) on crystalline CaHgTe2N at its relaxed geometry.

Cell: 5.952 5.952 4.336 Å, 90.00 90.00 90.00°
Space group P4/mmm (No. 123)
Symmetry-distinct sites (fractional):
Ca1 0.000 0.000 0.000 [1 per cell]
Hg1 0.500 0.500 0.500 [1 per cell]
Te1 0.000 0.500 0.000 [2 per cell]
N1 0.000 0.000 0.500 [1 per cell]

Computed properties:
Energy above the lowest structure with this stoichiometry: 319 meV/atom
Formation energy (no corrections): 0.723 eV/atom
Total magnetization: 0.0002 μB per atom

(4)
VASP calculation (PBE) on crystalline LiPr5Tl8 at its relaxed geometry.

Cell: 9.502 9.502 9.287 Å, 90.00 90.00 90.00°
Space group I-4 (No. 82)
Symmetry-distinct sites (fractional):
Li1 0.000 0.000 0.000 [2 per cell]
Pr1 0.000 0.500 0.250 [2 per cell]
Pr2 0.113 0.749 0.609 [8 per cell]
Tl1 0.073 0.839 0.262 [8 per cell]
Tl2 0.080 0.693 0.952 [8 per cell]

Computed properties:
Formation energy: -281 meV/atom
Total magnetization: 0.0000 μB per atom

(5)
VASP calculation (PBE) on crystalline Sr2TlFeSn at its relaxed geometry.

Cell: 5.944 5.944 4.627 Å, 90.00 90.00 90.00°
Space group P4/mmm (No. 123)
Symmetry-distinct sites (fractional):
Sr1 0.000 0.500 0.000 [2 per cell]
Tl1 0.000 0.000 0.500 [1 per cell]
Fe1 0.500 0.500 0.500 [1 per cell]
Sn1 0.500 0.500 0.000 [1 per cell]

Computed properties:
Formation energy: 445 meV/atom
Total magnetization: 0.0360 μB per atom

(6)
VASP calculation (PBE) on crystalline Cd3NiAu at its relaxed geometry.

Cell: 5.209 5.209 5.209 Å, 90.00 90.00 90.00°
Space group Pm-3m (No. 221)
Symmetry-distinct sites (fractional):
Cd1 0.000 0.000 0.500 [3 per cell]
Ni1 0.500 0.500 0.500 [1 per cell]
Au1 0.000 0.000 0.000 [1 per cell]

Computed properties:
Energy above the lowest structure with this stoichiometry: 741 meV/atom
Formation energy: 689 meV/atom
Total magnetization: 0.0000 μB per atom

In g/cm³, the mass density values for the records above are, in order, 2.839 4.445 5.512 9.294 5.628 6.965.